Ca2DyPaBi4: optimized geometry, GGA-PBE.

Geometry as POSCAR:
```
Ca2DyPaBi4
1.0
4.566 0.000 0.000
0.000 7.824 0.132
0.000 -2.736 7.420
Ca Dy Pa Bi
2 1 1 4
direct
0.500 0.000 0.500 Ca
0.000 0.500 0.500 Ca
0.500 0.500 0.000 Dy
0.000 0.000 0.000 Pa
0.500 0.242 0.236 Bi
0.500 0.758 0.764 Bi
0.000 0.249 0.763 Bi
0.000 0.751 0.237 Bi
```


CaDyBiPb: optimized geometry, GGA-PBE.

Geometry as POSCAR:
```
CaDyBiPb
1.0
-2.103 0.863 -5.058
-1.393 -4.312 -3.196
-5.342 -1.094 -1.005
Pb Ca Bi Dy
1 1 1 1
direct
0.750 0.750 0.750 Pb
0.500 0.500 0.500 Ca
0.250 0.250 0.250 Bi
0.000 0.000 0.000 Dy
```


CaPm2Dy3Bi6: optimized geometry, GGA-PBE.

Geometry as POSCAR:
```
CaPm2Dy3Bi6
1.0
4.528 0.000 0.000
0.000 9.082 0.309
-2.264 -2.633 9.542
Ca Pm Dy Bi
1 2 3 6
direct
0.500 0.000 0.000 Ca
0.834 0.669 0.668 Pm
0.166 0.331 0.332 Pm
0.500 0.500 0.000 Dy
0.834 0.166 0.668 Dy
0.166 0.834 0.332 Dy
0.331 0.921 0.663 Bi
0.666 0.586 0.331 Bi
0.669 0.079 0.337 Bi
0.998 0.256 0.996 Bi
0.002 0.744 0.004 Bi
0.334 0.414 0.669 Bi
```


CaPmDy2Bi4: optimized geometry, GGA-PBE.

Geometry as POSCAR:
```
CaPmDy2Bi4
1.0
4.509 0.000 0.000
0.000 7.898 -0.185
0.000 2.750 7.363
Ca Pm Dy Bi
1 1 2 4
direct
0.500 0.500 0.000 Ca
0.000 0.500 0.500 Pm
0.000 0.000 0.000 Dy
0.500 0.000 0.500 Dy
0.000 0.759 0.746 Bi
0.000 0.241 0.254 Bi
0.500 0.757 0.248 Bi
0.500 0.243 0.752 Bi
```


CaPm2DyBi4: optimized geometry, GGA-PBE.

Geometry as POSCAR:
```
CaPm2DyBi4
1.0
4.541 0.000 0.000
0.000 7.890 -0.161
0.000 2.773 7.444
Ca Pm Dy Bi
1 2 1 4
direct
0.000 0.500 0.500 Ca
0.000 0.000 0.000 Pm
0.500 0.000 0.500 Pm
0.500 0.500 0.000 Dy
0.000 0.745 0.755 Bi
0.000 0.255 0.245 Bi
0.500 0.749 0.246 Bi
0.500 0.251 0.754 Bi
```


CaPr2DyBi4: optimized geometry, GGA-PBE.

Geometry as POSCAR:
```
CaPr2DyBi4
1.0
4.590 0.000 0.000
0.000 7.917 -0.142
0.000 2.802 7.507
Ca Pr Dy Bi
1 2 1 4
direct
0.000 0.500 0.500 Ca
0.000 0.000 0.000 Pr
0.500 0.000 0.500 Pr
0.500 0.500 0.000 Dy
0.000 0.741 0.756 Bi
0.000 0.259 0.244 Bi
0.500 0.745 0.247 Bi
0.500 0.255 0.753 Bi
```


CaDy2PuBi4: optimized geometry, GGA-PBE.

Geometry as POSCAR:
```
CaDy2PuBi4
1.0
-0.137 0.553 4.484
1.273 -7.713 0.990
7.684 -1.294 0.394
Ca Dy Pu Bi
1 2 1 4
direct
0.000 0.500 0.500 Ca
0.000 0.000 0.000 Dy
0.500 0.000 0.500 Dy
0.500 0.500 0.000 Pu
0.000 0.754 0.751 Bi
0.000 0.246 0.249 Bi
0.500 0.756 0.244 Bi
0.500 0.244 0.756 Bi
```


CaDy2ScBi4: optimized geometry, GGA-PBE.

Geometry as POSCAR:
```
CaDy2ScBi4
1.0
-2.824 5.603 0.644
-4.292 -1.674 -4.308
-0.096 -4.330 6.392
Ca Dy Sc Bi
1 2 1 4
direct
0.937 0.937 0.000 Ca
0.187 0.687 0.500 Dy
0.687 0.187 0.500 Dy
0.437 0.437 0.000 Sc
0.937 0.437 0.000 Bi
0.437 0.937 0.000 Bi
0.197 0.197 0.520 Bi
0.677 0.677 0.480 Bi
```


CaSmDy2Bi4: optimized geometry, GGA-PBE.

Geometry as POSCAR:
```
CaSmDy2Bi4
1.0
-4.364 -1.099 -0.095
1.840 -7.460 1.775
0.045 -0.852 7.809
Ca Sm Dy Bi
1 1 2 4
direct
0.000 0.500 0.500 Ca
0.500 0.500 0.000 Sm
0.000 0.000 0.000 Dy
0.500 0.000 0.500 Dy
0.000 0.756 0.749 Bi
0.000 0.244 0.251 Bi
0.500 0.758 0.246 Bi
0.500 0.242 0.754 Bi
```


CaTb2Dy3Bi6: optimized geometry, GGA-PBE.

Geometry as POSCAR:
```
CaTb2Dy3Bi6
1.0
-2.058 -1.057 3.856
-7.240 -2.774 -4.625
6.513 -7.595 -1.227
Ca Tb Dy Bi
1 2 3 6
direct
0.500 0.000 0.000 Ca
0.834 0.668 0.668 Tb
0.166 0.332 0.332 Tb
0.500 0.500 0.000 Dy
0.835 0.166 0.670 Dy
0.165 0.834 0.330 Dy
0.331 0.916 0.662 Bi
0.667 0.584 0.334 Bi
0.669 0.084 0.338 Bi
0.000 0.256 0.000 Bi
0.000 0.744 0.000 Bi
0.333 0.416 0.666 Bi
```


CaTb3Dy2Bi6: optimized geometry, GGA-PBE.

Geometry as POSCAR:
```
CaTb3Dy2Bi6
1.0
4.500 0.000 0.000
0.000 9.025 0.327
-2.250 -2.595 9.479
Ca Tb Dy Bi
1 3 2 6
direct
0.500 0.000 0.000 Ca
0.500 0.500 0.000 Tb
0.835 0.166 0.670 Tb
0.165 0.834 0.330 Tb
0.834 0.668 0.667 Dy
0.166 0.332 0.333 Dy
0.331 0.914 0.662 Bi
0.667 0.583 0.335 Bi
0.669 0.086 0.338 Bi
0.001 0.255 0.002 Bi
0.999 0.745 0.998 Bi
0.333 0.417 0.665 Bi
```


CaTb2DyBi4: optimized geometry, GGA-PBE.

Geometry as POSCAR:
```
CaTb2DyBi4
1.0
-1.741 -4.113 -0.429
6.289 -2.232 -4.119
5.432 -2.811 4.920
Ca Tb Dy Bi
1 2 1 4
direct
0.500 0.500 0.000 Ca
0.000 0.000 0.000 Tb
0.500 0.000 0.500 Tb
0.000 0.500 0.500 Dy
0.000 0.755 0.745 Bi
0.000 0.245 0.255 Bi
0.500 0.751 0.253 Bi
0.500 0.249 0.747 Bi
```


| no. | energy of formation from the pure elements (meV per atom) | E (eV per atom) |
| --- | --- | --- |
| 1 | -658 | -4.86 |
| 2 | -491 | -4.04 |
| 3 | -852 | -4.90 |
| 4 | -823 | -4.76 |
| 5 | -837 | -4.79 |
| 6 | -843 | -4.80 |
| 7 | -670 | -5.80 |
| 8 | -737 | -4.87 |
| 9 | -820 | -4.75 |
| 10 | -834 | -4.86 |
| 11 | -837 | -4.87 |
| 12 | -813 | -4.74 |